Entry 1:
Material: Mg2SiSb
Method: DFT, PBE
State: optimized geometry

Geometry as POSCAR:
```
Mg2SiSb
1.0
8.579 0.025 0.015
7.859 3.440 0.015
7.859 1.657 3.015
Si Mg Sb
1 2 1
Cartesian
18.223 3.841 2.283 Si
11.915 2.511 1.493 Mg
0.234 0.049 0.029 Mg
6.074 1.280 0.761 Sb
```

**SG**: R-3m, No. 166
**Formation energy from raw total energies**: 0.005 eV/atom
**Polymorph energy (0 for the lowest one)**: 8.1 meV per atom

---

Entry 2:
Material: Tb9Ho3Tm2
Method: DFT, PBE
State: optimized geometry

Geometry as POSCAR:
```
Tb9Ho3Tm2
1.0
-3.859 -0.695 -4.696
1.296 -8.448 -3.805
-8.344 -8.138 -1.221
Ho Tm Tb
3 2 9
Cartesian
-2.563 -9.143 -8.500 Ho
-4.132 -4.169 -5.286 Ho
-6.776 -13.112 -4.435 Ho
-1.680 -9.783 -5.142 Tm
-9.226 -7.496 -4.582 Tm
-9.496 -10.963 -5.174 Tb
-7.651 -12.470 -7.801 Tb
-4.394 -7.648 -5.879 Tb
-4.665 -11.124 -6.475 Tb
-3.523 -8.293 -2.514 Tb
-6.515 -9.634 -3.842 Tb
-1.410 -6.317 -4.550 Tb
-3.254 -4.811 -1.923 Tb
-6.242 -6.158 -3.245 Tb
```

**DFT formation energy**: 23 kJ/mol of formula units
**SG**: P-1, No. 2

---

Entry 3:
Material: KTa2Cd
Method: DFT, PBE
State: optimized geometry

Geometry as POSCAR:
```
KTa2Cd
1.0
2.740 0.000 0.000
0.000 5.580 0.000
0.000 0.000 5.935
Ta Cd K
2 1 1
Cartesian
0.000 0.000 2.894 Ta
0.000 0.000 0.074 Ta
1.370 2.790 1.484 Cd
1.370 2.790 4.451 K
```

**DFT formation energy**: 452 kJ/mol of formula units
**SG**: Pmmm, No. 47

---

Entry 4:
Material: InRuBr2
Method: DFT, PBE
State: optimized geometry

Geometry as POSCAR:
```
InRuBr2
1.0
3.656 -0.034 0.000
-1.984 3.072 0.000
0.000 0.000 9.592
Br In Ru
2 1 1
Cartesian
0.836 1.519 2.934 Br
0.000 0.000 8.869 Br
0.000 0.000 5.047 In
0.836 1.519 7.131 Ru
```

**SG**: Cmm2, No. 35
**Formation energy from raw total energies**: 0.139 eV/atom
**Polymorph energy (0 for the lowest one)**: 224.0 meV per atom

---

Number 1: D(E_F) 1.3 states/eV/cell, VASP energy -3.179 eV/atom. Number 2: D(E_F) 18.5 states/eV/cell, VASP energy -4.580 eV/atom. Number 3: D(E_F) 4.6 states/eV/cell, VASP energy -5.258 eV/atom. Number 4: D(E_F) 3.1 states/eV/cell, VASP energy -3.701 eV/atom.